Ca4AsAu, optimized geometry, DFT GGA-PBE; density of states at the Fermi level = 0.787 states/eV per atom; E_tot = -2.451 eV per atom
1.0
3.458 -2.786 4.596
-2.847 -3.784 4.292
1.006 -6.310 -0.138
Ca As Au
4 1 1
direct
0.873 0.376 0.376
0.376 0.376 0.376
0.376 0.873 0.376
0.376 0.376 0.873
0.750 0.750 0.750
0.000 0.000 0.000